## TmIrN (PBE)

Data for a geometry-optimized TmIrN structure.

## Properties
* energy relative to the elements, uncorrected: -0.499 eV per atom
* space-group type: No. 2

POSCAR file:
```
TmIrN
1.0
4.138 -0.046 -0.555
2.090 2.191 -0.304
-1.782 0.146 9.776
N Tm Ir
2 2 2
direct
0.068 0.992 0.150 N
0.978 0.991 0.283 N
0.547 0.991 0.382 Tm
0.499 0.992 0.051 Tm
0.212 0.994 0.637 Ir
0.832 0.992 0.796 Ir
```